(1)
A geometry-optimized Cs2KBCl6 structure. Source: Alexandria, functional PBE.

DFT total energy   -33.06 eV per formula unit

Lattice parameters (Å, degrees): 7.2346 7.2346 11.7214 90.00 90.00 90.00
Closest atoms and distances in Å follow each position.
Space group I4/mmm (No. 139)
Unique sites:
Cs: 0.0000 0.5000 0.2500 x4  12 Cl 3.62-3.93
K: 0.0000 0.0000 0.0000 x2  6 Cl 3.00-3.11
B: 0.0000 0.0000 0.5000 x2  4 Cl 2.00
Cl: 0.0000 0.0000 0.2558 x4  1 B 2.86, 1 K 3.00
Cl: 0.1959 0.1959 0.5000 x8  1 B 2.00

(2)
A geometry-optimized TbNdSi2Pd2 structure. Source: Alexandria, functional PBE.

DFT total energy   -36.10 eV per formula unit

Lattice parameters (Å, degrees): 4.2134 4.2134 8.1507 90.00 90.00 120.00
Closest atoms and distances in Å follow each position.
Space group P-3m1 (No. 164)
Unique sites:
Tb: 0.0000 0.0000 0.0000 x1  6 Pd 3.10, 6 Si 3.16
Nd: 0.0000 0.0000 0.5000 x1  6 Si 3.19, 6 Pd 3.25
Si: 0.3333 0.6667 0.7533 x2  3 Pd 2.43
Pd: 0.3333 0.6667 0.2351 x2  3 Si 2.43

Let's list formation energy (no corrections) in order: -1.2502, -0.9122 eV per atom.
Let's list DOS(E_F) in order: 0.00, 4.77 states/eV/f.u..